(1)
Crystalline NpFe2O6 at its relaxed geometry. Source: Alexandria, functional PBE+U.

Values from the calculation:
Space-group type: P4_2/mnm

Unit cell a=4.800 b=4.800 c=9.446 alpha=90.00 beta=90.00 gamma=90.00
Sites, in units of the cell vectors:
Np 0.000 0.000 0.000
Np 0.500 0.500 0.500
Fe 0.000 0.000 0.332
Fe 0.000 0.000 0.668
Fe 0.500 0.500 0.168
Fe 0.500 0.500 0.832
O 0.194 0.194 0.163
O 0.194 0.194 0.837
O 0.197 0.197 0.500
O 0.303 0.697 0.000
O 0.306 0.694 0.337
O 0.306 0.694 0.663
O 0.694 0.306 0.337
O 0.694 0.306 0.663
O 0.697 0.303 0.000
O 0.803 0.803 0.500
O 0.806 0.806 0.163
O 0.806 0.806 0.837


(2)
Crystalline Np2FeO11 at its relaxed geometry. Source: Alexandria, functional PBE+U.

Values from the calculation:
Space-group type: Ibam

Unit cell a=8.530 b=8.530 c=8.530 alpha=117.19 beta=106.44 gamma=105.07
Sites, in units of the cell vectors:
Np 0.224 0.188 0.412
Np 0.276 0.688 0.963
Np 0.724 0.312 0.037
Np 0.776 0.812 0.588
Fe 0.250 0.250 0.000
Fe 0.750 0.750 0.000
O 0.000 0.500 0.500
O 0.023 0.025 0.785
O 0.041 0.635 0.926
O 0.144 0.453 0.597
O 0.209 0.135 0.593
O 0.240 0.238 0.215
O 0.260 0.475 0.999
O 0.291 0.884 0.926
O 0.356 0.953 0.309
O 0.459 0.384 0.593
O 0.477 0.262 0.001
O 0.500 0.000 0.500
O 0.523 0.738 0.999
O 0.541 0.616 0.407
O 0.644 0.047 0.691
O 0.709 0.116 0.074
O 0.740 0.525 0.001
O 0.760 0.762 0.785
O 0.791 0.865 0.407
O 0.856 0.547 0.403
O 0.959 0.365 0.074
O 0.977 0.975 0.215


(3)
Crystalline NpFeP2O8 at its relaxed geometry. Source: Alexandria, functional PBE+U.

Values from the calculation:
Space-group type: I-4m2

Unit cell a=5.748 b=5.748 c=5.748 alpha=105.97 beta=105.97 gamma=116.73
Sites, in units of the cell vectors:
Np 0.000 0.000 0.000
Fe 0.250 0.750 0.500
P 0.500 0.500 0.000
P 0.750 0.250 0.500
O 0.339 0.163 0.824
O 0.339 0.514 0.176
O 0.414 0.088 0.326
O 0.486 0.661 0.824
O 0.762 0.088 0.674
O 0.837 0.661 0.176
O 0.912 0.238 0.326
O 0.912 0.586 0.674


(4)
Crystalline NpFePb2O8 at its relaxed geometry. Source: Alexandria, functional PBE+U.

Values from the calculation:
Space-group type: P2/m

Unit cell a=5.074 b=6.600 c=5.075 alpha=90.00 beta=90.42 gamma=90.00
Sites, in units of the cell vectors:
Np 0.000 0.000 0.000
Fe 0.000 0.500 0.000
Pb 0.500 0.257 0.500
Pb 0.500 0.743 0.500
O 0.186 0.233 0.816
O 0.186 0.767 0.816
O 0.295 0.500 0.296
O 0.302 0.000 0.304
O 0.698 0.000 0.696
O 0.705 0.500 0.704
O 0.814 0.233 0.184
O 0.814 0.767 0.184


(5)
Crystalline NpFe2PbO8 at its relaxed geometry. Source: Alexandria, functional PBE+U.

Values from the calculation:
Space-group type: P-3m1

Unit cell a=5.756 b=5.756 c=7.102 alpha=90.00 beta=90.00 gamma=120.00
Sites, in units of the cell vectors:
Np 0.000 0.000 0.000
Fe 0.333 0.667 0.723
Fe 0.667 0.333 0.277
Pb 0.000 0.000 0.500
O 0.156 0.312 0.820
O 0.156 0.844 0.820
O 0.312 0.156 0.180
O 0.333 0.667 0.473
O 0.667 0.333 0.527
O 0.688 0.844 0.820
O 0.844 0.156 0.180
O 0.844 0.688 0.180


(6)
Crystalline NpFe2PbO6 at its relaxed geometry. Source: Alexandria, functional PBE+U.

Values from the calculation:
Space-group type: P1

Unit cell a=5.553 b=5.684 c=5.931 alpha=90.78 beta=115.59 gamma=119.15
Sites, in units of the cell vectors:
Np 0.000 0.000 0.000
Fe 0.571 0.772 0.377
Fe 0.618 0.338 0.927
Pb 0.025 0.512 0.550
O 0.124 0.733 0.187
O 0.148 0.971 0.749
O 0.468 0.390 0.189
O 0.567 0.622 0.710
O 0.790 0.188 0.762
O 0.812 0.044 0.218


(7)
Crystalline NpFePbO6 at its relaxed geometry. Source: Alexandria, functional PBE+U.

Values from the calculation:
Space-group type: P-31c

Unit cell a=5.437 b=5.437 c=10.740 alpha=90.00 beta=90.00 gamma=120.00
Sites, in units of the cell vectors:
Np 0.333 0.667 0.250
Np 0.667 0.333 0.750
Fe 0.333 0.667 0.750
Fe 0.667 0.333 0.250
Pb 0.000 0.000 0.000
Pb 0.000 0.000 0.500
O 0.002 0.373 0.147
O 0.002 0.629 0.353
O 0.371 0.373 0.353
O 0.371 0.998 0.147
O 0.373 0.002 0.647
O 0.373 0.371 0.853
O 0.627 0.629 0.147
O 0.627 0.998 0.353
O 0.629 0.002 0.853
O 0.629 0.627 0.647
O 0.998 0.371 0.647
O 0.998 0.627 0.853


(8)
Crystalline Pm2NpFeO8 at its relaxed geometry. Source: Alexandria, functional PBE+U.

Values from the calculation:
Space-group type: P-1

Unit cell a=4.566 b=5.228 c=7.322 alpha=82.83 beta=87.35 gamma=83.84
Sites, in units of the cell vectors:
Pm 0.093 0.017 0.235
Pm 0.907 0.983 0.765
Np 0.500 0.500 0.500
Fe 0.500 0.500 0.000
O 0.135 0.733 0.524
O 0.217 0.786 0.991
O 0.360 0.375 0.242
O 0.378 0.211 0.670
O 0.622 0.789 0.330
O 0.640 0.625 0.758
O 0.783 0.214 0.009
O 0.865 0.267 0.476


no.,calculated volume (Å³/cell),VASP energy (eV for the cell shown),ρ (kg/m³)
1,217.63,-141.702,6786
2,471.06,-213.630,4976
3,144.40,-96.838,5552
4,169.96,-84.472,8161
5,203.78,-85.225,5573
6,141.41,-76.297,7655
7,274.97,-138.899,7199
8,172.34,-99.018,6849